No. 1
Entry from Alexandria: an optimized crystal structure of K3SiH8 (PBE-GGA).

Calculated total energy (eV/atom): -2.924
Volume (A^3/atom): 13.370

Cell and atoms, written as POSCAR:
```
K3SiH8
1.0
-0.853 -2.592 -5.998
2.498 -6.612 2.502
-7.314 1.618 0.341
K Si H
6 2 16
Direct
0.725 0.673 0.836 K
0.725 0.164 0.327 K
0.725 0.164 0.836 K
0.225 0.327 0.164 K
0.225 0.836 0.673 K
0.225 0.836 0.164 K
0.159 0.333 0.667 Si
0.659 0.667 0.333 Si
0.020 0.127 0.564 H
0.020 0.436 0.873 H
0.020 0.436 0.564 H
0.520 0.873 0.436 H
0.520 0.564 0.127 H
0.520 0.564 0.436 H
0.802 0.464 0.232 H
0.802 0.768 0.536 H
0.802 0.768 0.232 H
0.302 0.536 0.768 H
0.302 0.232 0.464 H
0.302 0.232 0.768 H
0.499 0.333 0.667 H
0.999 0.667 0.333 H
0.977 0.000 0.000 H
0.477 0.000 0.000 H
```



No. 2
Entry from Alexandria: an optimized crystal structure of NdTm2Sn (PBE-GGA).

Formation energy from the elements (meV/atom): -294
Energy relative to the lowest polymorph listed for this composition (meV/atom): 129
Volume (A^3/atom): 29.578
DOS at the Fermi energy (states/eV/f.u.): 5.7

Cell and atoms, written as POSCAR:
```
NdTm2Sn
1.0
3.740 0.000 0.000
0.000 3.740 0.000
0.000 0.000 8.459
Tm Nd Sn
2 1 1
Direct
0.000 0.000 0.785 Tm
0.000 0.000 0.215 Tm
0.500 0.500 0.500 Nd
0.500 0.500 0.000 Sn
```



No. 3
Entry from Alexandria: an optimized crystal structure of PmYTh2 (PBE-GGA).

Formation energy from the elements (meV/atom): 179
Energy relative to the lowest polymorph listed for this composition (meV/atom): 151
Volume (A^3/atom): 32.726
DOS at the Fermi energy (states/eV/f.u.): 7.2

Cell and atoms, written as POSCAR:
```
PmYTh2
1.0
5.699 0.000 0.000
2.850 4.936 0.000
2.850 1.645 4.653
Y Th Pm
1 2 1
Direct
0.500 0.500 0.500 Y
0.250 0.250 0.250 Th
0.750 0.750 0.750 Th
0.000 0.000 0.000 Pm
```



No. 4
Entry from Alexandria: an optimized crystal structure of LiZrCl (PBE-GGA).

Energy relative to the lowest polymorph listed for this composition (meV/atom): 97
Uncorrected formation energy (eV/atom): -0.586
Volume (A^3/atom): 20.038
DOS at the Fermi energy (states/eV/f.u.): 2.0

Cell and atoms, written as POSCAR:
```
LiZrCl
1.0
-1.418 -4.235 5.678
-2.262 -5.762 2.994
2.753 -0.807 1.421
Cl Li Zr
1 1 1
Direct
0.992 0.992 0.008 Cl
0.354 0.354 0.646 Li
0.655 0.655 0.345 Zr
```



No. 5
Entry from Alexandria: an optimized crystal structure of Ba2Na2Cu (PBE-GGA).

Formation energy from the elements (meV/atom): 226
Energy relative to the lowest polymorph listed for this composition (meV/atom): 11
Volume (A^3/atom): 39.081
DOS at the Fermi energy (states/eV/f.u.): 4.7

Cell and atoms, written as POSCAR:
```
Ba2Na2Cu
1.0
8.153 0.000 0.000
0.000 8.153 0.000
0.000 0.000 5.879
Na Ba Cu
4 4 2
Direct
0.359 0.859 0.000 Na
0.859 0.641 0.000 Na
0.641 0.141 0.000 Na
0.141 0.359 0.000 Na
0.183 0.683 0.500 Ba
0.683 0.817 0.500 Ba
0.817 0.317 0.500 Ba
0.317 0.183 0.500 Ba
0.000 0.000 0.000 Cu
0.500 0.500 0.000 Cu
```



No. 6
Entry from Alexandria: an optimized crystal structure of PmNdMoN3 (PBE-GGA).

Uncorrected formation energy (eV/atom): -0.906
Volume (A^3/atom): 18.444
DOS at the Fermi energy (states/eV/f.u.): 2.1

Cell and atoms, written as POSCAR:
```
PmNdMoN3
1.0
-1.411 0.638 3.214
-2.000 -7.203 0.551
7.608 -0.549 3.448
Pm Nd Mo N
2 2 2 6
Direct
0.250 0.634 0.160 Pm
0.750 0.366 0.840 Pm
0.750 0.827 0.855 Nd
0.250 0.173 0.145 Nd
0.250 0.062 0.615 Mo
0.750 0.938 0.385 Mo
0.250 0.837 0.437 N
0.750 0.893 0.146 N
0.750 0.394 0.128 N
0.750 0.163 0.563 N
0.250 0.606 0.872 N
0.250 0.107 0.854 N
```



No. 7
Entry from Alexandria: an optimized crystal structure of Tb3Mn3Ga2Si (PBE-GGA).

Energy relative to the lowest polymorph listed for this composition (meV/atom): 0
Uncorrected formation energy (eV/atom): -0.333
Volume (A^3/atom): 19.638
DOS at the Fermi energy (states/eV/f.u.): 10.8

Cell and atoms, written as POSCAR:
```
Tb3Mn3Ga2Si
1.0
0.260 6.190 -3.235
-6.171 -3.040 1.238
-0.214 1.939 3.693
Tb Mn Ga Si
3 3 2 1
Direct
0.337 0.249 0.500 Tb
0.911 0.663 0.500 Tb
0.751 0.089 0.500 Tb
0.346 0.907 0.000 Mn
0.561 0.654 0.000 Mn
0.093 0.439 0.000 Mn
0.333 0.667 0.500 Ga
0.000 0.000 0.000 Ga
0.667 0.333 0.000 Si
```



No. 8
Entry from Alexandria: an optimized crystal structure of Hf2HgGe2 (PBE-GGA).

Formation energy from the elements (meV/atom): -245
Volume (A^3/atom): 20.543
DOS at the Fermi energy (states/eV/f.u.): 2.6

Cell and atoms, written as POSCAR:
```
Hf2HgGe2
1.0
8.053 0.000 0.000
0.000 8.053 0.000
0.000 0.000 3.168
Ge Hf Hg
4 4 2
Direct
0.156 0.656 0.500 Ge
0.656 0.844 0.500 Ge
0.844 0.344 0.500 Ge
0.344 0.156 0.500 Ge
0.360 0.860 0.000 Hf
0.860 0.640 0.000 Hf
0.640 0.140 0.000 Hf
0.140 0.360 0.000 Hf
0.000 0.000 0.000 Hg
0.500 0.500 0.000 Hg
```



Q: Number 1 is which compound?
A: K3SiH8